Record 1
A geometry-optimized Y8HoZn2 structure, computed with GGA-PBE.

Properties
Energy = -58.80 eV per cell
SG = C2/m
DFT formation energy = 0.04 eV/f.u.

a = 5.5340 Å, b = 8.3189 Å, c = 8.3189 Å
α = 114.92°, β = 99.28°, γ = 99.28°
Fractional coordinates of all 11 atoms:
Y: 0.9057 0.9224 0.6792
Y: 0.9057 0.6792 0.9224
Y: 0.3019 0.6055 0.6055
Y: 0.5000 0.7587 0.2413
Y: 0.5000 0.2413 0.7587
Y: 0.6981 0.3945 0.3945
Y: 0.0943 0.3208 0.0776
Y: 0.0943 0.0776 0.3208
Ho: 0.5000 0.0000 0.0000
Zn: 0.0000 0.3115 0.6885
Zn: 0.0000 0.6885 0.3115

---

Record 2
A geometry-optimized Si4SbBr structure, computed with GGA-PBE.

Properties
Energy = -23.97 eV per cell
SG = F-43m
Formation energy without anion corrections = 0.59 eV/atom

a = 5.4391 Å, b = 5.4391 Å, c = 5.4391 Å
α = 60.00°, β = 60.00°, γ = 60.00°
Fractional coordinates of all 6 atoms:
Si: 0.8689 0.3770 0.3770
Si: 0.3770 0.3770 0.8689
Si: 0.3770 0.8689 0.3770
Si: 0.3770 0.3770 0.3770
Sb: 0.0000 0.0000 0.0000
Br: 0.7500 0.7500 0.7500

---

Record 3
A geometry-optimized MgHg2Pb2 structure, computed with GGA-PBE.

Properties
Energy = -10.05 eV per cell
SG = I4/mmm
DFT formation energy = -0.43 eV/f.u.
Energy above the most stable polymorph in this dataset = 0.00 eV per formula unit

a = 3.5290 Å, b = 3.5290 Å, c = 10.7858 Å
α = 99.42°, β = 99.42°, γ = 90.00°
Fractional coordinates of all 5 atoms:
Mg: 0.0000 0.0000 0.0000
Hg: 0.5818 0.5818 0.1636
Hg: 0.4182 0.4182 0.8364
Pb: 0.8119 0.8119 0.6238
Pb: 0.1881 0.1881 0.3762

---

no.,magnetization (Bohr magnetons per cell)
1,0.00
2,0.00
3,0.00